[1]
This record from Alexandria via LeMat-Bulk describes an optimized crystal structure of FeTc2W. The functional is GGA-PBEsol.

- total magnetization (μB per cell) = 1.3
- energy (eV per atom) = -11.2282

Unit cell a=3.7738 b=3.7738 c=3.8049 alpha=90.00 beta=90.00 gamma=90.00
With the nearest neighbours (Å) after each atom.
Atoms (fractional coordinates):
Fe  0.0000  0.0000  0.5000  4 W 2.67, 8 Tc 2.68
Tc  0.0000  0.5000  0.0000  4 Tc 2.67, 4 Fe 2.68, 4 W 2.68
W  0.5000  0.5000  0.5000  4 Fe 2.67, 8 Tc 2.68
Tc  0.5000  0.0000  0.0000  4 Tc 2.67, 4 W 2.68, 4 Fe 2.68

[2]
This record from Alexandria via LeMat-Bulk describes an optimized crystal structure of YP7. The functional is GGA-PBEsol.

- total magnetization (μB per cell) = 0.0
- energy (eV per atom) = -5.7311

Unit cell a=5.6053 b=5.6053 c=5.6053 alpha=60.00 beta=60.00 gamma=60.00
With the nearest neighbours (Å) after each atom.
Atoms (fractional coordinates):
P  0.5000  0.0000  0.5000  10 P 2.80, 2 Y 2.80
P  0.5000  0.5000  0.0000  10 P 2.80, 2 Y 2.80
P  0.0000  0.5000  0.0000  10 P 2.80, 2 Y 2.80
P  0.0000  0.5000  0.5000  10 P 2.80, 2 Y 2.80
P  0.5000  0.5000  0.5000  12 P 2.80
P  0.5000  0.0000  0.0000  2 Y 2.80, 10 P 2.80
Y  0.0000  0.0000  0.0000  12 P 2.80
P  0.0000  0.0000  0.5000  10 P 2.80, 2 Y 2.80

[3]
This record from Alexandria via LeMat-Bulk describes an optimized crystal structure of CeNd3C8. The functional is GGA-PBEsol.

- total magnetization (μB per cell) = 0.4
- energy (eV per atom) = -8.3753

Unit cell a=3.7654 b=3.7654 c=12.7795 alpha=90.00 beta=90.00 gamma=90.00
With the nearest neighbours (Å) after each atom.
Atoms (fractional coordinates):
C  0.5000  0.5000  0.5507  1 C 1.29
Nd  0.5000  0.5000  0.7523  10 C 2.51-2.74
C  0.5000  0.5000  0.9488  1 C 1.31
C  0.5000  0.5000  0.0512  1 C 1.31
Nd  0.5000  0.5000  0.2477  10 C 2.51-2.74
C  0.0000  0.0000  0.7011  1 C 1.30
Ce  0.0000  0.0000  0.0000  10 C 2.52-2.74
C  0.0000  0.0000  0.2989  1 C 1.30
C  0.5000  0.5000  0.4493  1 C 1.29
C  0.0000  0.0000  0.8029  1 C 1.30
C  0.0000  0.0000  0.1971  1 C 1.30
Nd  0.0000  0.0000  0.5000  10 C 2.57-2.74

[4]
This record from Alexandria via LeMat-Bulk describes an optimized crystal structure of RhWCl. The functional is GGA-PBEsol.

- total magnetization (μB per cell) = 0.0
- energy (eV per atom) = -6.8065
- raw formation energy (eV per atom) = 1.178

Unit cell a=3.9921 b=3.9921 c=3.9921 alpha=60.00 beta=60.00 gamma=60.00
With the nearest neighbours (Å) after each atom.
Atoms (fractional coordinates):
W  0.5000  0.5000  0.5000  4 Cl 2.44
Cl  0.2500  0.2500  0.2500  4 Rh 2.44, 4 W 2.44
Rh  0.0000  0.0000  0.0000  4 Cl 2.44

[5]
This record from Alexandria via LeMat-Bulk describes an optimized crystal structure of BaZn2Ni. The functional is GGA-PBEsol.

- total magnetization (μB per cell) = 0.0
- energy (eV per atom) = -2.7884

Unit cell a=3.3145 b=3.3145 c=7.1749 alpha=90.00 beta=90.00 gamma=90.00
With the nearest neighbours (Å) after each atom.
Atoms (fractional coordinates):
Zn  0.0000  0.0000  0.9649  4 Ni 2.51, 4 Zn 2.78
Ni  0.5000  0.5000  0.8411  5 Zn 2.38-2.51
Ba  0.0000  0.0000  0.5217  5 Zn 3.18-3.43, 4 Ni 3.28, 4 Ba 3.31
Zn  0.5000  0.5000  0.1723  1 Ni 2.38

[6]
This record from Alexandria via LeMat-Bulk describes an optimized crystal structure of CdW2Br. The functional is GGA-PBEsol.

- total magnetization (μB per cell) = 0.0
- energy (eV per atom) = -6.6075
- raw formation energy (eV per atom) = 1.063

Unit cell a=2.8432 b=2.9664 c=9.6053 alpha=90.00 beta=90.00 gamma=118.64
With the nearest neighbours (Å) after each atom.
Atoms (fractional coordinates):
W  0.0000  0.0000  0.2597  2 Br 2.71, 6 W 2.84-2.97, 2 Cd 2.87
Br  0.5000  0.0000  0.5000  4 W 2.71, 6 Br 2.84-2.97
W  0.0000  0.0000  0.7403  2 Br 2.71, 6 W 2.84-2.97, 2 Cd 2.87
Cd  0.5000  0.0000  0.0000  6 Cd 2.84-2.97, 4 W 2.87

[7]
This record from Alexandria via LeMat-Bulk describes an optimized crystal structure of Li5Ni4O8. The functional is GGA-PBEsol.

- total magnetization (μB per cell) = 20.0
- energy (eV per atom) = -5.7332
- raw formation energy (eV per atom) = -1.236

Unit cell a=8.2202 b=8.2202 c=8.2202 alpha=90.00 beta=90.00 gamma=90.00
With the nearest neighbours (Å) after each atom.
Atoms (fractional coordinates):
Li  0.9467  0.5533  0.4467  3 O 1.84, 1 Li 2.04
Ni  0.8741  0.6241  0.8750  6 O 1.93-2.01
Li  0.8750  0.1067  0.8567  4 O 1.96-2.14
O  0.8906  0.3808  0.8838  1 Li 1.84, 3 Ni 1.93-2.01
Ni  0.8750  0.8741  0.6241  6 O 1.93-2.01
O  0.1318  0.3682  0.6318  3 Li 1.96, 3 Ni 2.01
Ni  0.1241  0.6250  0.1259  6 O 1.93-2.01
O  0.3808  0.8838  0.8906  1 Li 1.84, 3 Ni 1.93-2.01
Ni  0.3750  0.1250  0.8750  6 O 1.99
O  0.1338  0.1308  0.8594  1 Li 1.84, 3 Ni 1.93-2.01
Li  0.6967  0.3033  0.8033  3 O 1.84, 1 Li 2.04
Ni  0.6241  0.8750  0.8741  6 O 1.93-2.01
O  0.6182  0.8818  0.1182  3 Li 1.96, 3 Ni 2.01
O  0.6162  0.1094  0.8808  1 Li 1.84, 3 Ni 1.93-2.01
O  0.3818  0.3818  0.3818  3 Li 1.96, 3 Ni 2.01
Li  0.5533  0.4467  0.9467  3 O 1.84, 1 Li 2.04
Ni  0.8759  0.1250  0.3741  6 O 1.93-2.01
Li  0.3750  0.3933  0.1433  4 O 1.96-2.14
Li  0.8033  0.6967  0.3033  3 O 1.84, 1 Li 2.04
Li  0.6067  0.6433  0.1250  4 O 1.96-2.14
Li  0.1250  0.6067  0.6433  4 O 1.96-2.14
O  0.3594  0.3662  0.8692  1 Li 1.84, 3 Ni 1.93-2.01
Ni  0.8750  0.3750  0.1250  6 O 1.99
O  0.3692  0.1406  0.6338  1 Li 1.84, 3 Ni 1.93-2.01
O  0.8838  0.8906  0.3808  1 Li 1.84, 3 Ni 1.93-2.01
O  0.1308  0.8594  0.1338  1 Li 1.84, 3 Ni 1.93-2.01
Li  0.1067  0.8567  0.8750  4 O 1.96-2.14
Li  0.8933  0.3567  0.6250  4 O 1.96-2.14
Ni  0.6250  0.1259  0.1241  6 O 1.93-2.01
O  0.8692  0.3594  0.3662  1 Li 1.84, 3 Ni 1.93-2.01
O  0.8662  0.6308  0.6406  1 Li 1.84, 3 Ni 1.93-2.01
O  0.8682  0.8682  0.8682  3 Li 1.96, 3 Ni 2.01
O  0.6338  0.3692  0.1406  1 Li 1.84, 3 Ni 1.93-2.01
O  0.8808  0.6162  0.1094  1 Li 1.84, 3 Ni 1.93-2.01
O  0.1162  0.3906  0.1192  1 Li 1.84, 3 Ni 1.93-2.01
Ni  0.3759  0.3750  0.6259  6 O 1.93-2.01
O  0.3662  0.8692  0.3594  1 Li 1.84, 3 Ni 1.93-2.01
O  0.1094  0.8808  0.6162  1 Li 1.84, 3 Ni 1.93-2.01
O  0.8818  0.1182  0.6182  3 Li 1.96, 3 Ni 2.01
Li  0.4467  0.9467  0.5533  3 O 1.84, 1 Li 2.04
Ni  0.6259  0.3759  0.3750  6 O 1.93-2.01
Ni  0.1250  0.8750  0.3750  6 O 1.99
Li  0.1433  0.3750  0.3933  4 O 1.96-2.14
O  0.6094  0.6192  0.3838  1 Li 1.84, 3 Ni 1.93-2.01
Li  0.0533  0.0533  0.0533  3 O 1.84, 1 Li 2.04
O  0.6318  0.1318  0.3682  3 Li 1.96, 3 Ni 2.01
O  0.3838  0.6094  0.6192  1 Li 1.84, 3 Ni 1.93-2.01
O  0.6406  0.8662  0.6308  1 Li 1.84, 3 Ni 1.93-2.01
Li  0.3033  0.8033  0.6967  3 O 1.84, 1 Li 2.04
O  0.3682  0.6318  0.1318  3 Li 1.96, 3 Ni 2.01
Li  0.3567  0.6250  0.8933  4 O 1.96-2.14
O  0.1192  0.1162  0.3906  1 Li 1.84, 3 Ni 1.93-2.01
O  0.1182  0.6182  0.8818  3 Li 1.96, 3 Ni 2.01
Ni  0.1259  0.1241  0.6250  6 O 1.93-2.01
O  0.1406  0.6338  0.3692  1 Li 1.84, 3 Ni 1.93-2.01
Ni  0.3750  0.6259  0.3759  6 O 1.93-2.01
O  0.6192  0.3838  0.6094  1 Li 1.84, 3 Ni 1.93-2.01
Li  0.6250  0.8933  0.3567  4 O 1.96-2.14
O  0.3906  0.1192  0.1162  1 Li 1.84, 3 Ni 1.93-2.01
Ni  0.3741  0.8759  0.1250  6 O 1.93-2.01
O  0.6308  0.6406  0.8662  1 Li 1.84, 3 Ni 1.93-2.01
Li  0.1967  0.1967  0.1967  3 O 1.84, 1 Li 2.04
Ni  0.6250  0.6250  0.6250  6 O 1.99
Li  0.8567  0.8750  0.1067  4 O 1.96-2.14
Li  0.3933  0.1433  0.3750  4 O 1.96-2.14
Ni  0.1250  0.3741  0.8759  6 O 1.93-2.01
Li  0.6433  0.1250  0.6067  4 O 1.96-2.14
O  0.8594  0.1338  0.1308  1 Li 1.84, 3 Ni 1.93-2.01

[8]
This record from Alexandria via LeMat-Bulk describes an optimized crystal structure of Sr2Hg2Pb. The functional is GGA-PBEsol.

- total magnetization (μB per cell) = 0.0
- energy (eV per atom) = -2.2919

Unit cell a=4.1665 b=8.5178 c=8.5178 alpha=90.00 beta=90.00 gamma=90.00
With the nearest neighbours (Å) after each atom.
Atoms (fractional coordinates):
Hg  0.0000  0.6217  0.1217  1 Hg 2.93, 2 Sr 3.20
Pb  0.0000  0.5000  0.5000  4 Hg 3.38, 8 Sr 3.77
Pb  0.0000  0.0000  0.0000  4 Hg 3.38, 8 Sr 3.77
Hg  0.0000  0.1217  0.3783  1 Hg 2.93, 2 Sr 3.20
Sr  0.5000  0.3231  0.1769  6 Hg 3.20-3.32
Sr  0.5000  0.6769  0.8231  6 Hg 3.20-3.32
Sr  0.5000  0.8231  0.3231  6 Hg 3.20-3.32
Hg  0.0000  0.8783  0.6217  1 Hg 2.93, 2 Sr 3.20
Sr  0.5000  0.1769  0.6769  6 Hg 3.20-3.32
Hg  0.0000  0.3783  0.8783  1 Hg 2.93, 2 Sr 3.20

[9]
This record from Alexandria via LeMat-Bulk describes an optimized crystal structure of YTaCo2Cu. The functional is GGA-PBEsol.

- total magnetization (μB per cell) = 2.1
- energy (eV per atom) = -5.6356

Unit cell a=4.3828 b=4.3828 c=5.0217 alpha=90.00 beta=90.00 gamma=90.00
With the nearest neighbours (Å) after each atom.
Atoms (fractional coordinates):
Co  0.0000  0.5000  0.0000  2 Y 2.19
Y  0.0000  0.0000  0.0000  4 Co 2.19
Co  0.5000  0.0000  0.0000  2 Y 2.19
Ta  0.0000  0.0000  0.5000  2 Y 2.51
Cu  0.5000  0.5000  0.5000  4 Ta 3.10, 8 Co 3.33

[10]
This record from Alexandria via LeMat-Bulk describes an optimized crystal structure of BeZn2As. The functional is GGA-PBEsol.

- total magnetization (μB per cell) = 0.0
- energy (eV per atom) = -2.7979

Unit cell a=3.6457 b=3.6457 c=4.9828 alpha=111.46 beta=111.46 gamma=90.00
With the nearest neighbours (Å) after each atom.
Atoms (fractional coordinates):
Zn  0.2500  0.7500  0.5000  4 Zn 2.58, 4 As 2.81, 4 Be 2.81
As  0.5000  0.5000  0.0000  4 Be 2.58, 8 Zn 2.81
Zn  0.7500  0.2500  0.5000  4 Zn 2.58, 4 As 2.81, 4 Be 2.81
Be  0.0000  0.0000  0.0000  4 As 2.58, 8 Zn 2.81